1.
The following is a GGA-PBE calculation of a geometry-optimized NdH11S3O16 structure, from Alexandria via LeMat-Bulk.

abc: 7.142 11.883 16.053
angles: 96.21 90.00 90.00
Fractional coordinates of all 124 atoms:
Nd  0.547  0.925  0.320
Nd  0.953  0.425  0.820
Nd  0.453  0.075  0.680
Nd  0.047  0.575  0.180
H  0.318  0.542  0.416
H  0.182  0.042  0.916
H  0.682  0.458  0.584
H  0.818  0.958  0.084
H  0.472  0.629  0.372
H  0.028  0.129  0.872
H  0.528  0.371  0.628
H  0.972  0.871  0.128
H  0.434  0.646  0.475
H  0.066  0.146  0.975
H  0.566  0.354  0.525
H  0.934  0.854  0.025
H  0.935  0.104  0.447
H  0.565  0.604  0.947
H  0.065  0.896  0.553
H  0.435  0.396  0.053
H  0.169  0.103  0.433
H  0.331  0.603  0.933
H  0.831  0.897  0.567
H  0.669  0.397  0.067
H  0.079  0.216  0.496
H  0.421  0.716  0.996
H  0.921  0.784  0.504
H  0.579  0.284  0.004
H  0.736  0.396  0.300
H  0.764  0.896  0.800
H  0.264  0.604  0.700
H  0.236  0.104  0.200
H  0.598  0.290  0.250
H  0.902  0.790  0.750
H  0.402  0.710  0.750
H  0.098  0.210  0.250
H  0.604  0.313  0.356
H  0.896  0.813  0.856
H  0.396  0.687  0.644
H  0.104  0.187  0.144
H  0.391  0.879  0.994
H  0.109  0.379  0.494
H  0.609  0.121  0.006
H  0.891  0.621  0.506
H  0.448  0.836  0.084
H  0.052  0.336  0.584
H  0.552  0.164  0.916
H  0.948  0.664  0.416
S  0.545  0.685  0.210
S  0.955  0.185  0.710
S  0.455  0.315  0.790
S  0.045  0.815  0.290
S  0.549  0.145  0.454
S  0.951  0.645  0.954
S  0.451  0.855  0.546
S  0.049  0.355  0.046
S  0.590  0.083  0.174
S  0.910  0.583  0.674
S  0.410  0.917  0.826
S  0.090  0.417  0.326
O  0.208  0.887  0.314
O  0.292  0.387  0.814
O  0.792  0.113  0.686
O  0.708  0.613  0.186
O  0.498  0.863  0.458
O  0.002  0.363  0.958
O  0.502  0.137  0.542
O  0.998  0.637  0.042
O  0.530  0.708  0.304
O  0.970  0.208  0.804
O  0.470  0.292  0.696
O  0.030  0.792  0.196
O  0.568  0.801  0.182
O  0.932  0.301  0.682
O  0.432  0.199  0.818
O  0.068  0.699  0.318
O  0.728  0.050  0.236
O  0.772  0.550  0.736
O  0.272  0.950  0.764
O  0.228  0.450  0.264
O  0.393  0.100  0.396
O  0.107  0.600  0.896
O  0.607  0.900  0.604
O  0.893  0.400  0.104
O  0.584  0.267  0.444
O  0.916  0.767  0.944
O  0.416  0.733  0.556
O  0.084  0.233  0.056
O  0.441  0.588  0.423
O  0.059  0.088  0.923
O  0.559  0.412  0.577
O  0.941  0.912  0.077
O  0.061  0.124  0.472
O  0.439  0.624  0.972
O  0.939  0.876  0.528
O  0.561  0.376  0.028
O  0.406  0.031  0.200
O  0.094  0.531  0.700
O  0.594  0.969  0.800
O  0.906  0.469  0.300
O  0.715  0.075  0.425
O  0.785  0.575  0.925
O  0.285  0.925  0.575
O  0.215  0.425  0.075
O  0.374  0.631  0.173
O  0.126  0.131  0.673
O  0.626  0.369  0.827
O  0.874  0.869  0.327
O  0.613  0.350  0.302
O  0.887  0.850  0.802
O  0.387  0.650  0.698
O  0.113  0.150  0.198
O  0.641  0.031  0.087
O  0.859  0.531  0.587
O  0.359  0.969  0.913
O  0.141  0.469  0.413
O  0.569  0.206  0.174
O  0.931  0.706  0.674
O  0.431  0.794  0.826
O  0.069  0.294  0.326
O  0.380  0.818  0.031
O  0.120  0.318  0.531
O  0.620  0.182  0.969
O  0.880  0.682  0.469

Properties
For the total energy, the calculation gives -5.71 eV/atom. As for the space group: P2_1/c, No. 14. The calculation puts the density of states at the Fermi level at 0.00 states/eV/atom.

---

2.
The following is a GGA-PBE calculation of a geometry-optimized NdHSO5 structure, from Alexandria via LeMat-Bulk.

abc: 12.538 4.515 7.145
angles: 69.07 90.00 90.00
Fractional coordinates of all 32 atoms:
Nd  0.563  0.338  0.300
Nd  0.063  0.662  0.200
Nd  0.437  0.662  0.700
Nd  0.937  0.338  0.800
H  0.346  0.284  0.477
H  0.846  0.716  0.023
H  0.654  0.716  0.523
H  0.154  0.284  0.977
S  0.647  0.092  0.890
S  0.147  0.908  0.610
S  0.353  0.908  0.110
S  0.853  0.092  0.390
O  0.416  0.261  0.542
O  0.916  0.739  0.958
O  0.584  0.739  0.458
O  0.084  0.261  0.042
O  0.835  0.800  0.564
O  0.335  0.200  0.936
O  0.165  0.200  0.436
O  0.665  0.800  0.064
O  0.903  0.025  0.220
O  0.403  0.975  0.280
O  0.097  0.975  0.780
O  0.597  0.025  0.720
O  0.930  0.303  0.450
O  0.430  0.697  0.050
O  0.070  0.697  0.550
O  0.570  0.303  0.950
O  0.752  0.265  0.324
O  0.252  0.735  0.176
O  0.248  0.735  0.676
O  0.748  0.265  0.824

Properties
For the total energy, the calculation gives -6.72 eV/atom. As for the space group: P2_1/c, No. 14. The calculation puts the density of states at the Fermi level at 0.00 states/eV/atom.

---

3.
The following is a GGA-PBE calculation of a geometry-optimized NdH3S2O9 structure, from Alexandria via LeMat-Bulk.

abc: 7.327 9.476 10.905
angles: 92.69 90.00 90.00
Fractional coordinates of all 60 atoms:
Nd  0.835  0.051  0.848
Nd  0.335  0.949  0.652
Nd  0.165  0.949  0.152
Nd  0.665  0.051  0.348
H  0.306  0.399  0.018
H  0.806  0.601  0.482
H  0.694  0.601  0.982
H  0.194  0.399  0.518
H  0.139  0.429  0.117
H  0.639  0.571  0.383
H  0.861  0.571  0.883
H  0.361  0.429  0.617
H  0.266  0.564  0.072
H  0.766  0.436  0.428
H  0.734  0.436  0.928
H  0.234  0.564  0.572
S  0.838  0.253  0.092
S  0.338  0.747  0.408
S  0.162  0.747  0.908
S  0.662  0.253  0.592
S  0.833  0.842  0.607
S  0.333  0.158  0.893
S  0.167  0.158  0.393
S  0.667  0.842  0.107
O  0.941  0.377  0.138
O  0.441  0.623  0.362
O  0.059  0.623  0.862
O  0.559  0.377  0.638
O  0.748  0.279  0.970
O  0.248  0.721  0.530
O  0.252  0.721  0.030
O  0.752  0.279  0.470
O  0.960  0.128  0.059
O  0.460  0.872  0.441
O  0.040  0.872  0.941
O  0.540  0.128  0.559
O  0.699  0.212  0.182
O  0.199  0.788  0.318
O  0.301  0.788  0.818
O  0.801  0.212  0.682
O  0.845  0.688  0.597
O  0.345  0.312  0.903
O  0.155  0.312  0.403
O  0.655  0.688  0.097
O  0.671  0.888  0.686
O  0.171  0.112  0.814
O  0.329  0.112  0.314
O  0.829  0.888  0.186
O  0.992  0.906  0.680
O  0.492  0.094  0.820
O  0.008  0.094  0.320
O  0.508  0.906  0.180
O  0.827  0.905  0.486
O  0.327  0.095  0.014
O  0.173  0.095  0.514
O  0.673  0.905  0.986
O  0.268  0.461  0.094
O  0.768  0.539  0.406
O  0.732  0.539  0.906
O  0.232  0.461  0.594

Properties
For the total energy, the calculation gives -6.22 eV/atom. As for the space group: P2_1/c, No. 14. The calculation puts the density of states at the Fermi level at 0.00 states/eV/atom.

---

4.
The following is a GGA-PBE calculation of a geometry-optimized Nd2SbHO structure, from Alexandria via LeMat-Bulk.

abc: 3.994 3.994 6.951
angles: 106.70 106.70 90.00
Fractional coordinates of all 5 atoms:
Nd  0.649  0.649  0.299
Nd  0.351  0.351  0.701
Sb  0.000  0.000  0.000
H  0.750  0.250  0.500
O  0.250  0.750  0.500

Properties
For the total energy, the calculation gives -6.15 eV/atom. As for the space group: I-4m2, No. 119. The calculation puts the density of states at the Fermi level at 0.36 states/eV/atom.